Entry 1:
The following is a DFT calculation (PBE) of a relaxed structure of Nd3Sm4YSe8.

abc: 8.378 8.366 8.374
angles: 120.00 120.02 90.00
Atoms (fractional coordinates):
Nd 0.500 0.500 0.000
Nd 0.000 0.500 0.500
Se 0.753 0.249 0.996
Se 0.247 0.751 0.494
Se 0.756 0.751 0.004
Se 0.244 0.249 0.996
Sm 0.000 0.000 0.500
Y 0.000 0.500 0.000
Nd 0.500 0.500 0.500
Sm 0.500 0.000 0.500
Se 0.248 0.245 0.496
Se 0.753 0.249 0.506
Sm 0.500 0.000 0.000
Se 0.752 0.755 0.504
Sm 0.000 0.000 0.000
Se 0.247 0.751 0.004

volume	414.96	Å³/cell
E_form (uncorrected)	-1811	meV/atom

=====

Entry 2:
The following is a DFT calculation (PBE) of a relaxed structure of YBN2.

abc: 3.066 4.787 3.066
angles: 90.00 90.00 90.00
Atoms (fractional coordinates):
B 0.500 0.500 0.500
N 0.000 0.330 0.500
N 0.500 0.670 0.000
Y 0.000 0.000 0.000

volume	44.99	Å³/cell
E_form (uncorrected)	-280	meV/atom

=====

Entry 3:
The following is a DFT calculation (PBE) of a relaxed structure of NbFeIr3.

abc: 4.748 4.748 4.748
angles: 90.00 90.00 90.00
Atoms (fractional coordinates):
Nb 0.000 0.000 0.000
Ir 0.000 0.500 0.000
Ir 0.000 0.000 0.500
Fe 0.500 0.500 0.500
Ir 0.500 0.000 0.000

formation energy	1.72	eV per atom
excess energy over the best structure of this formula in the dataset	1137.0	meV/atom
volume	107.05	Å³/cell

=====

no.,total magnetization (μB/cell)
1,0.0
2,0.0
3,3.8